[1]
The following is a DFT calculation (PBE) of a geometry-optimized Tb2NdFe9 structure.

abc: 5.144 5.144 8.652
angles: 72.70 72.70 60.00
Last column: magnetic moment on the atom in μB.
Atoms (fractional coordinates):
Tb1 0.858 0.858 0.426  -0.54
Tb2 0.142 0.142 0.574  -0.54
Nd1 0.000 0.000 0.000  -0.28
Fe1 0.667 0.667 0.998  2.38
Fe2 0.333 0.333 0.002  2.38
Fe3 0.500 0.500 0.500  1.91
Fe4 0.419 0.419 0.246  2.15
Fe5 0.916 0.419 0.246  2.15
Fe6 0.419 0.916 0.246  2.15
Fe7 0.581 0.581 0.754  2.15
Fe8 0.581 0.084 0.754  2.15
Fe9 0.084 0.581 0.754  2.15

The calculation puts the energy relative to the elements at -1.9 kJ per mole of atoms. As for the magnetization: 1.4747 μB/atom. The density of states at the Fermi level is 15.87 states/eV/cell. The calculation puts the calculated volume at 186 Å³/cell. The raw total energy is -7.54 eV/atom. Its space group is R-3m (166).



[2]
The following is a DFT calculation (PBE) of a geometry-optimized Mg2IrW structure.

abc: 5.076 5.076 4.828
angles: 75.90 75.90 32.95
Atoms (fractional coordinates):
Ir1 0.750 0.750 0.750
Mg1 0.012 0.012 0.992
Mg2 0.488 0.488 0.508
W1 0.250 0.250 0.250

The calculation puts the energy relative to the elements at 11.8 kJ per mole of atoms. As for the magnetization: 0.0000 μB/atom. The density of states at the Fermi level is 3.33 states/eV/cell. The calculation puts the calculated volume at 65 Å³/cell. The raw total energy is -6.13 eV/atom. Its space group is C2/m (12).



[3]
The following is a DFT calculation (PBE) of a geometry-optimized CeZrPtAu structure.

abc: 4.970 4.970 4.970
angles: 60.00 60.00 60.00
Last column: magnetic moment on the atom in μB.
Atoms (fractional coordinates):
Zr1 0.250 0.250 0.250  0.26
Au1 0.000 0.000 0.000  0.01
Ce1 0.750 0.750 0.750  0.65
Pt1 0.500 0.500 0.500  0.00

The calculation puts the energy relative to the elements at -61.3 kJ per mole of atoms. As for the magnetization: 0.2888 μB/atom. The density of states at the Fermi level is 7.37 states/eV/cell. The calculation puts the calculated volume at 87 Å³/cell. The raw total energy is -6.59 eV/atom. Its space group is F-43m (216).



[4]
The following is a DFT calculation (PBE) of a geometry-optimized BaCaCo2 structure.

abc: 5.535 5.535 7.287
angles: 55.42 55.42 42.43
Last column: magnetic moment on the atom in μB.
Atoms (fractional coordinates):
Ca1 0.250 0.250 0.250  -0.05
Co1 0.996 0.996 0.190  1.13
Co2 0.504 0.504 0.310  1.13
Ba1 0.750 0.750 0.750  -0.08

The calculation puts the energy relative to the elements at 29.7 kJ per mole of atoms. As for the magnetization: 0.4571 μB/atom. The density of states at the Fermi level is 5.60 states/eV/cell. As for the offset from the most stable computed form: 173 meV/atom. The calculation puts the calculated volume at 119 Å³/cell. The raw total energy is -4.23 eV/atom. Its space group is C2/m (12).



[5]
The following is a DFT calculation (PBE) of a geometry-optimized HIrBr3 structure.

abc: 5.111 5.111 5.111
angles: 90.00 90.00 90.00
Last column: magnetic moment on the atom in μB.
Atoms (fractional coordinates):
H1 0.500 0.500 0.500  0.38
Ir1 0.000 0.000 0.000  0.86
Br1 0.000 0.500 0.000  0.08
Br2 0.000 0.000 0.500  0.04
Br3 0.500 0.000 0.000  0.28

As for the magnetization: 0.4758 μB/atom. The density of states at the Fermi level is 6.05 states/eV/cell. As for the offset from the most stable computed form: 0 meV/atom. The calculation puts the calculated volume at 133 Å³/cell. The raw total energy is -2.79 eV/atom. Its space group is Pm-3m (221).



[6]
The following is a DFT calculation (PBE) of a geometry-optimized Na2Tl5Te4 structure.

abc: 4.779 10.559 9.580
angles: 123.22 104.43 89.98
Atoms (fractional coordinates):
Na1 0.551 0.703 0.104
Na2 0.449 0.297 0.896
Tl1 0.242 0.824 0.485
Tl2 0.758 0.176 0.515
Tl3 0.136 0.322 0.270
Tl4 0.500 0.000 0.000
Tl5 0.864 0.678 0.730
Te1 0.653 0.541 0.304
Te2 0.109 0.933 0.220
Te3 0.347 0.459 0.696
Te4 0.891 0.067 0.780

As for the magnetization: 0.0000 μB/atom. The density of states at the Fermi level is 6.89 states/eV/cell. The calculation puts the calculated volume at 386 Å³/cell. The raw total energy is -2.87 eV/atom. The calculation puts the formation energy from raw total energies at -40 kJ per mole of atoms. Its space group is P-1 (2).



[7]
The following is a DFT calculation (PBE) of a geometry-optimized PmSi3H12 structure.

abc: 6.852 6.852 9.538
angles: 68.95 68.95 60.00
Atoms (fractional coordinates):
Pm1 0.073 0.073 0.781
Pm2 0.573 0.573 0.281
Si1 0.676 0.393 0.006
Si2 0.176 0.425 0.506
Si3 0.893 0.176 0.506
Si4 0.393 0.925 0.006
Si5 0.925 0.676 0.006
Si6 0.425 0.893 0.506
H1 0.140 0.101 0.987
H2 0.213 0.339 0.677
H3 0.967 0.936 0.495
H4 0.822 0.461 0.846
H5 0.322 0.371 0.346
H6 0.467 0.103 0.995
H7 0.713 0.272 0.177
H8 0.936 0.603 0.495
H9 0.640 0.271 0.487
H10 0.772 0.213 0.677
H11 0.961 0.322 0.346
H12 0.271 0.601 0.487
H13 0.103 0.436 0.995
H14 0.771 0.140 0.987
H15 0.461 0.871 0.846
H16 0.272 0.839 0.177
H17 0.839 0.713 0.177
H18 0.436 0.467 0.995
H19 0.601 0.640 0.487
H20 0.871 0.822 0.846
H21 0.371 0.961 0.346
H22 0.101 0.771 0.987
H23 0.339 0.772 0.677
H24 0.603 0.967 0.495

As for the magnetization: 0.0000 μB/atom. The density of states at the Fermi level is 7.22 states/eV/cell. The calculation puts the calculated volume at 353 Å³/cell. The raw total energy is -3.75 eV/atom. Its space group is R3c (161).



[8]
The following is a DFT calculation (PBE) of a geometry-optimized ScIrPb2 structure.

abc: 8.053 8.053 6.426
angles: 51.20 51.20 90.00
Atoms (fractional coordinates):
Pb1 0.666 0.125 0.250
Pb2 0.084 0.625 0.250
Pb3 0.375 0.334 0.750
Pb4 0.875 0.916 0.750
Sc1 0.500 0.500 0.000
Sc2 0.250 0.750 0.500
Ir1 0.000 0.000 0.000
Ir2 0.750 0.250 0.500

The calculation puts the energy relative to the elements at 5.9 kJ per mole of atoms. As for the magnetization: 0.0000 μB/atom. The density of states at the Fermi level is 3.76 states/eV/cell. As for the offset from the most stable computed form: 340 meV/atom. The calculation puts the calculated volume at 193 Å³/cell. The raw total energy is -5.59 eV/atom. Its space group is I-42d (122).



Q: Look up the raw total energy of the eighth one.
A: -5.59 eV/atom